Density functional theory data (PBE-GGA) for a geometry-optimized Cs2SrTiS4 structure.

The space group is Fddd (No. 70, origin choice 2) and the conventional cell measures 6.892, 14.475 and 26.675 Å, with angles of 90.00, 90.00 and 90.00 degrees. Symmetry generates all atoms from Cs at (0.125, 0.125, 0.310), Sr at (0.125, 0.125, 0.125), Ti at (0.125, 0.125, 0.625) and S at (0.069, 0.281, 0.828).

The total magnetization is 0.00 μB/f.u. The value obtained for the uncorrected formation energy is -1.3815 eV per atom. The total energy comes out at -4.8557 eV per atom. The density is 2.6 g cm⁻³.

Density functional theory data (PBE-GGA) for a geometry-optimized Tl2In4Bi structure.

The space group is R-3m (No. 166, hexagonal axes) and the conventional cell measures 3.4504, 3.4504 and 59.0649 Å, with angles of 90.00, 90.00 and 120.00 degrees. Symmetry generates all atoms from Tl at (0.0000, 0.0000, 0.0704), In at (0.0000, 0.0000, 0.2149), In at (0.0000, 0.0000, 0.3560) and Bi at (0.0000, 0.0000, 0.5000).

The calculation puts the energy above the most stable polymorph in this dataset at 0.0000 eV/atom. The total magnetization is 0.00 μB/f.u. The total energy comes out at -2.7868 eV per atom. Its formation energy is 0.009 eV/atom. The density is 8.8 g cm⁻³.

Density functional theory data (PBE-GGA) for a geometry-optimized TlZnBiCl6 structure.

The space group is P-31c (No. 163) and the conventional cell measures 6.8492, 6.8492 and 14.0609 Å, with angles of 90.00, 90.00 and 120.00 degrees. Symmetry generates all atoms from Tl at (0.0000, 0.0000, 0.0000), Zn at (0.3333, 0.6667, 0.2500), Bi at (0.3333, 0.6667, 0.7500) and Cl at (0.0262, 0.3840, 0.1450).

The total magnetization is 0.00 μB/f.u. The value obtained for the uncorrected formation energy is -1.0406 eV per atom. The total energy comes out at -3.1074 eV per atom. The density is 4.0 g cm⁻³.